# Ba2GaBi3 | the Alexandria database | GGA-PBE | relaxed
# - Energy above the lowest structure with this stoichiometry: 0 meV per atom
# - Formation energy: -0.587 eV per atom
data_Ba2GaBi3
_symmetry_space_group_name_H-M 'P m m 2'
_symmetry_Int_Tables_number 25
_cell_length_a 4.870
_cell_length_b 5.261
_cell_length_c 9.079
_cell_angle_alpha 90.00
_cell_angle_beta 90.00
_cell_angle_gamma 90.00
loop_
_symmetry_equiv_pos_as_xyz
'x,y,z'
'-x,-y,z'
'-x,y,z'
'x,-y,z'
loop_
_atom_site_label
_atom_site_fract_x
_atom_site_fract_y
_atom_site_fract_z
Ba1 0.000 0.000 0.000
Ba2 0.000 0.500 0.491
Ga1 0.500 0.500 0.818
Bi1 0.500 0.000 0.335
Bi2 0.500 0.000 0.681
Bi3 0.500 0.500 0.134